Record 1
DFT (GGA-PBE) results for a geometry-optimized LaY6Er structure.

Unit cell a=6.7968 b=6.5930 c=7.0737 alpha=76.22 beta=60.35 gamma=89.36
Sites, in units of the cell vectors:
La: 0.0000 0.0000 0.0000
Y: 0.0917 0.7640 0.4885
Y: 0.5659 0.7259 0.5303
Y: 0.4341 0.2741 0.4697
Y: 0.9083 0.2360 0.5115
Y: 0.5425 0.7457 0.0039
Y: 0.4575 0.2543 0.9961
Er: 0.0000 0.5000 0.0000

Output
E above lowest polymorph (meV/atom): 54.0
Energy of formation from the pure elements (meV/atom): 202.6
D(E_F) (states/eV/cell): 14.968
Total moment (μB/f.u.): 0.00

Record 2
DFT (GGA-PBE) results for a geometry-optimized KSr3 structure.

Unit cell a=8.1204 b=8.1204 c=8.1204 alpha=117.15 beta=117.15 gamma=117.15
Sites, in units of the cell vectors:
Sr: 0.5000 0.0000 0.5000
Sr: 0.5000 0.5000 0.0000
Sr: 0.0000 0.5000 0.5000
K: 0.0000 0.0000 0.0000

Output
E above lowest polymorph (meV/atom): 30.4
Energy of formation from the pure elements (meV/atom): 75.9
D(E_F) (states/eV/cell): 2.399
Total moment (μB/f.u.): 0.00

Record 3
DFT (GGA-PBE) results for a geometry-optimized CsNaSr2Ga structure.

Unit cell a=6.3857 b=6.3857 c=6.3743 alpha=90.00 beta=90.00 gamma=90.00
Sites, in units of the cell vectors:
Cs: 0.5000 0.5000 0.5000
Sr: 0.0000 0.5000 0.0000
Sr: 0.5000 0.0000 0.0000
Ga: 0.0000 0.0000 0.0000
Na: 0.0000 0.0000 0.5000

Output
Energy of formation from the pure elements (meV/atom): 21.9
D(E_F) (states/eV/cell): 6.502
Total moment (μB/f.u.): 0.00

Record 4
DFT (GGA-PBE) results for a geometry-optimized MnZnCd2Fe structure.

Unit cell a=5.0287 b=4.6540 c=5.0287 alpha=90.00 beta=90.00 gamma=90.00
Last column: magnetic moment on the atom in μB.
Sites, in units of the cell vectors:
Zn: 0.0000 0.5000 0.0000  -0.01
Mn: 0.0000 0.0000 0.0000  3.21
Fe: 0.5000 0.5000 0.5000  3.28
Cd: 0.0000 0.0000 0.5000  0.00
Cd: 0.5000 0.0000 0.0000  -0.01

Output
Energy of formation from the pure elements (meV/atom): 1079.1
D(E_F) (states/eV/cell): 6.874
Total moment (μB/f.u.): 6.66

Sequential VASP energy output: -0.214 -0.054 -0.062 -0.113 Ha/atom